1.
VASP calculation (PBE-GGA) on SbIr2Pt after structural relaxation.

Output
formation energy without anion corrections = 304 meV per atom
electronic total energy = -6.6673 eV/atom

Unit cell a=6.4385 b=6.4385 c=6.4385 alpha=90.00 beta=90.00 gamma=90.00
With the nearest neighbours (Å) after each atom.
Space group F-43m (No. 216)
Inequivalent atoms, fractional coordinates:
Sb (0.0000, 0.0000, 0.0000) [4 per cell]  4 Pt 2.79, 4 Ir 2.79
Ir (0.0000, 0.0000, 0.5000) [4 per cell]  4 Ir 2.79, 4 Pt 2.79
Ir (0.2500, 0.2500, 0.7500) [4 per cell]  4 Sb 2.79, 4 Ir 2.79
Pt (0.2500, 0.2500, 0.2500) [4 per cell]  4 Sb 2.79, 4 Ir 2.79

2.
VASP calculation (PBE-GGA) on Sb8Ir2Pt after structural relaxation.

Output
formation energy without anion corrections = -82 meV per atom
electronic total energy = -5.2405 eV/atom

Unit cell a=5.2542 b=7.6310 c=7.9836 alpha=69.10 beta=88.21 gamma=89.71
With the nearest neighbours (Å) after each atom.
Space group P-1 (No. 2)
Inequivalent atoms, fractional coordinates:
Sb (0.1746, 0.2022, 0.1202) [2 per cell]  1 Ir 2.66, 1 Pt 2.72, 1 Sb 2.92
Sb (0.1967, 0.6224, 0.7102) [2 per cell]  1 Ir 2.68, 1 Pt 2.73, 2 Sb 2.92-2.93
Sb (0.1972, 0.6714, 0.1780) [2 per cell]  1 Ir 2.61, 1 Pt 2.72
Sb (0.2497, 0.1131, 0.5620) [2 per cell]  3 Ir 2.63-2.73
Ir (0.2626, 0.8743, 0.3766) [2 per cell]  6 Sb 2.61-2.73
Pt (0.5000, 0.5000, 0.0000) [1 per cell]  6 Sb 2.72-2.73

3.
VASP calculation (PBE-GGA) on SbIr2Pt after structural relaxation.

Output
formation energy without anion corrections = 240 meV per atom
electronic total energy = -6.7310 eV/atom

Unit cell a=2.8586 b=4.7980 c=9.7191 alpha=90.00 beta=90.00 gamma=90.00
With the nearest neighbours (Å) after each atom.
Space group Imm2 (No. 44)
Inequivalent atoms, fractional coordinates:
Sb (0.0000, 0.0000, 0.0000) [2 per cell]  6 Ir 2.75-2.80, 2 Sb 2.86, 2 Pt 2.90
Ir (0.0000, 0.0000, 0.4790) [2 per cell]  4 Ir 2.71-2.86, 4 Sb 2.80, 2 Pt 2.91
Ir (0.0000, 0.5000, 0.7418) [2 per cell]  4 Ir 2.71-2.86, 2 Sb 2.75, 4 Pt 2.79
Pt (0.0000, 0.5000, 0.2403) [2 per cell]  6 Ir 2.79-2.91, 2 Pt 2.86, 2 Sb 2.90

4.
VASP calculation (PBE-GGA) on Sb2IrPt2 after structural relaxation.

Output
formation energy without anion corrections = 231 meV per atom
electronic total energy = -5.6066 eV/atom

Unit cell a=3.6876 b=3.6876 c=14.7794 alpha=90.00 beta=90.00 gamma=90.00
With the nearest neighbours (Å) after each atom.
Space group I4/mmm (No. 139)
Inequivalent atoms, fractional coordinates:
Sb (0.0000, 0.0000, 0.1043) [4 per cell]  4 Pt 2.84, 4 Ir 3.03, 1 Sb 3.08
Ir (0.0000, 0.0000, 0.5000) [2 per cell]  8 Sb 3.03
Pt (0.0000, 0.5000, 0.2500) [4 per cell]  4 Pt 2.61, 4 Sb 2.84

5.
VASP calculation (PBE-GGA) on SbIr2Pt after structural relaxation.

Output
formation energy without anion corrections = 27 meV per atom
electronic total energy = -6.9441 eV/atom

Unit cell a=4.0812 b=4.0812 c=3.8873 alpha=90.00 beta=90.00 gamma=90.00
With the nearest neighbours (Å) after each atom.
Space group P4/mmm (No. 123)
Inequivalent atoms, fractional coordinates:
Sb (0.0000, 0.0000, 0.0000) [1 per cell]  8 Ir 2.82, 4 Pt 2.89
Ir (0.0000, 0.5000, 0.5000) [2 per cell]  4 Sb 2.82, 4 Pt 2.82, 4 Ir 2.89
Pt (0.5000, 0.5000, 0.0000) [1 per cell]  8 Ir 2.82, 4 Sb 2.89

6.
VASP calculation (PBE-GGA) on SbIr4Pt after structural relaxation.

Output
formation energy without anion corrections = 553 meV per atom
electronic total energy = -7.0486 eV/atom

Unit cell a=7.4390 b=7.4390 c=7.4390 alpha=90.00 beta=90.00 gamma=90.00
With the nearest neighbours (Å) after each atom.
Space group F-43m (No. 216)
Inequivalent atoms, fractional coordinates:
Sb (0.0000, 0.0000, 0.0000) [4 per cell]  12 Ir 3.09, 4 Pt 3.22
Ir (0.1245, 0.1245, 0.6245) [16 per cell]  6 Ir 2.62-2.64
Pt (0.2500, 0.2500, 0.2500) [4 per cell]  12 Ir 3.08, 4 Sb 3.22

7.
VASP calculation (PBE-GGA) on SbIr2Pt after structural relaxation.

Output
formation energy without anion corrections = 689 meV per atom
electronic total energy = -6.2820 eV/atom

Unit cell a=5.3892 b=5.3892 c=13.1215 alpha=90.00 beta=90.00 gamma=90.00
With the nearest neighbours (Å) after each atom.
Space group I-42d (No. 122)
Inequivalent atoms, fractional coordinates:
Sb (0.0000, 0.0000, 0.0000) [4 per cell]  4 Ir 2.57
Ir (0.2308, 0.2500, 0.6250) [8 per cell]  2 Pt 2.46, 2 Sb 2.57
Pt (0.0000, 0.0000, 0.5000) [4 per cell]  4 Ir 2.46

8.
VASP calculation (PBE-GGA) on SbIr2Pt after structural relaxation.

Output
formation energy without anion corrections = 130 meV per atom
electronic total energy = -6.8416 eV/atom

Unit cell a=5.6625 b=7.5083 c=3.0921 alpha=90.00 beta=90.00 gamma=90.00
With the nearest neighbours (Å) after each atom.
Space group Cmmm (No. 65)
Inequivalent atoms, fractional coordinates:
Sb (0.0000, 0.0000, 0.0000) [2 per cell]  8 Ir 2.81, 2 Pt 2.83, 2 Sb 3.09
Ir (0.2500, 0.2500, 0.5000) [4 per cell]  4 Sb 2.81, 4 Pt 2.81, 4 Ir 2.83-3.09
Pt (0.0000, 0.5000, 0.0000) [2 per cell]  8 Ir 2.81, 2 Sb 2.83, 2 Pt 3.09